Density functional theory data (SCAN) for a PBEsol-optimized structure of PaAs.

Lattice parameters (Å, degrees): 4.044 4.044 4.044 60.00 60.00 60.00
Positions (direct):
As  0.000  0.000  0.000
Pa  0.500  0.500  0.500

**Fermi-level density of states**: 0.845 states/eV per atom
**SG**: Fm-3m (225)
**Formation energy from the elements**: -1.00 eV/atom
**Total DFT energy (no corrections)**: -60.926 eV/atom

=====

Density functional theory data (SCAN) for a PBEsol-optimized structure of Pa3As4.

Lattice parameters (Å, degrees): 7.324 7.324 7.324 109.47 109.47 109.47
Positions (direct):
As  0.659  0.659  0.159
As  0.500  0.841  0.500
As  0.841  0.000  0.000
As  0.000  0.500  0.341
As  0.159  0.159  0.659
As  0.500  0.341  0.500
As  0.000  0.500  0.841
As  0.341  0.000  0.000
Pa  0.125  0.875  0.250
Pa  0.375  0.625  0.750
Pa  0.750  0.125  0.375
Pa  0.250  0.375  0.125
Pa  0.875  0.750  0.625
Pa  0.625  0.250  0.875

**Fermi-level density of states**: 1.316 states/eV per atom
**SG**: I-43d (220)
**Formation energy from the elements**: -1.00 eV/atom
**Total DFT energy (no corrections)**: -55.256 eV/atom

=====

Density functional theory data (SCAN) for a PBEsol-optimized structure of PaAs2.

Lattice parameters (Å, degrees): 3.970 3.970 8.025 90.00 90.00 90.00
Positions (direct):
As  0.000  0.500  0.642
As  0.500  0.000  0.358
As  0.500  0.500  0.000
As  0.000  0.000  0.000
Pa  0.000  0.500  0.281
Pa  0.500  0.000  0.719

**Fermi-level density of states**: 0.458 states/eV per atom
**SG**: P4/nmm (129)
**Formation energy from the elements**: -0.95 eV/atom
**Total DFT energy (no corrections)**: -47.630 eV/atom

=====

Density functional theory data (SCAN) for a PBEsol-optimized structure of AsPb.

Lattice parameters (Å, degrees): 5.087 3.567 6.134 90.00 114.50 90.00
Positions (direct):
Pb  0.641  0.750  0.281
Pb  0.359  0.250  0.719
As  0.916  0.750  0.832
As  0.084  0.250  0.168

**Fermi-level density of states**: 0.456 states/eV per atom
**SG**: Cmcm (63)
**Formation energy from the elements**: 0.17 eV/atom
**Total DFT energy (no corrections)**: -47.818 eV/atom

=====

Density functional theory data (SCAN) for a PBEsol-optimized structure of AsPb.

Lattice parameters (Å, degrees): 4.252 4.252 8.387 90.00 90.00 120.00
Positions (direct):
Pb  0.667  0.333  0.641
Pb  0.333  0.667  0.141
As  0.667  0.333  0.988
As  0.333  0.667  0.488

**Fermi-level density of states**: 0.308 states/eV per atom
**SG**: P6_3mc (186)
**Formation energy from the elements**: 0.12 eV/atom
**Total DFT energy (no corrections)**: -47.863 eV/atom

=====

Density functional theory data (SCAN) for a PBEsol-optimized structure of As8Pb.

Lattice parameters (Å, degrees): 4.725 6.672 6.672 82.80 69.26 69.26
Positions (direct):
As  0.305  0.000  0.389
As  0.695  0.000  0.611
As  0.654  0.346  0.346
As  0.305  0.389  0.000
As  0.000  0.346  0.654
As  0.695  0.611  0.000
As  0.346  0.654  0.654
As  0.000  0.654  0.346
Pb  0.000  0.000  0.000

**Fermi-level density of states**: 0.669 states/eV per atom
**SG**: I4/mmm (139)
**Formation energy from the elements**: 0.48 eV/atom
**Total DFT energy (no corrections)**: -25.885 eV/atom

=====

Density functional theory data (SCAN) for a PBEsol-optimized structure of As2Pb3.

Lattice parameters (Å, degrees): 6.010 7.109 7.714 80.52 67.07 64.99
Positions (direct):
As  0.514  0.313  0.891
As  0.718  0.687  0.109
As  0.155  0.813  0.609
As  0.577  0.187  0.391
Pb  0.583  0.938  0.731
Pb  0.252  0.062  0.269
Pb  0.065  0.438  0.769
Pb  0.271  0.562  0.231
Pb  0.932  0.000  0.000
Pb  0.682  0.500  0.500

**Fermi-level density of states**: 0.297 states/eV per atom
**SG**: Fdd2 (43)
**Formation energy from the elements**: 0.07 eV/atom
**E above lowest polymorph**: 109 meV/atom
**Total DFT energy (no corrections)**: -53.476 eV/atom

=====

Density functional theory data (SCAN) for a PBEsol-optimized structure of As2Pb3.

Lattice parameters (Å, degrees): 4.279 4.279 9.130 76.45 76.45 60.00
Positions (direct):
Pb  0.000  0.000  0.000
Pb  0.213  0.213  0.362
Pb  0.787  0.787  0.638
As  0.600  0.600  0.199
As  0.400  0.400  0.801

**Fermi-level density of states**: 0.150 states/eV per atom
**SG**: R-3m (166)
**Formation energy from the elements**: -0.04 eV/atom
**E above lowest polymorph**: 0 meV/atom
**Total DFT energy (no corrections)**: -53.585 eV/atom

=====

Density functional theory data (SCAN) for a PBEsol-optimized structure of AsPb.

Lattice parameters (Å, degrees): 3.594 3.594 9.350 78.92 78.92 60.00
Positions (direct):
Pb  0.883  0.883  0.351
Pb  0.117  0.117  0.649
As  0.360  0.360  0.921
As  0.640  0.640  0.079

**Fermi-level density of states**: 0.460 states/eV per atom
**SG**: R-3m (166)
**Formation energy from the elements**: 0.08 eV/atom
**Total DFT energy (no corrections)**: -47.907 eV/atom

=====

Density functional theory data (SCAN) for a PBEsol-optimized structure of As3Pb.

Lattice parameters (Å, degrees): 3.530 5.143 5.697 116.83 108.05 90.00
Positions (direct):
Pb  0.000  0.500  0.000
As  0.790  0.790  0.580
As  0.210  0.210  0.420
As  0.500  0.000  0.000

**Fermi-level density of states**: 0.393 states/eV per atom
**SG**: Immm (71)
**Formation energy from the elements**: 0.31 eV/atom
**E above lowest polymorph**: 253 meV/atom
**Total DFT energy (no corrections)**: -33.774 eV/atom

=====

Density functional theory data (SCAN) for a PBEsol-optimized structure of As3Pb5.

Lattice parameters (Å, degrees): 6.432 8.914 8.914 120.00 90.00 90.00
Positions (direct):
Pb  0.000  0.667  0.333
Pb  0.500  0.333  0.667
Pb  0.000  0.333  0.667
Pb  0.500  0.667  0.333
Pb  0.750  0.711  0.711
Pb  0.250  0.289  0.289
Pb  0.750  0.000  0.289
Pb  0.750  0.289  0.000
Pb  0.250  0.711  0.000
Pb  0.250  0.000  0.711
As  0.750  0.375  0.375
As  0.250  0.625  0.625
As  0.750  0.000  0.625
As  0.750  0.625  0.000
As  0.250  0.375  0.000
As  0.250  0.000  0.375

**Fermi-level density of states**: 0.230 states/eV per atom
**SG**: P6_3/mcm (193)
**Formation energy from the elements**: 0.10 eV/atom
**Total DFT energy (no corrections)**: -54.835 eV/atom

=====

Density functional theory data (SCAN) for a PBEsol-optimized structure of AsPb7.

Lattice parameters (Å, degrees): 6.846 6.846 6.846 60.00 60.00 60.00
Positions (direct):
As  0.000  0.000  0.000
Pb  0.000  0.000  0.500
Pb  0.000  0.500  0.000
Pb  0.500  0.000  0.000
Pb  0.500  0.500  0.000
Pb  0.500  0.000  0.500
Pb  0.000  0.500  0.500
Pb  0.500  0.500  0.500

**Fermi-level density of states**: 0.523 states/eV per atom
**SG**: Fm-3m (225)
**Formation energy from the elements**: 0.09 eV/atom
**Total DFT energy (no corrections)**: -68.743 eV/atom

=====

Density functional theory data (SCAN) for a PBEsol-optimized structure of AsPb.

Lattice parameters (Å, degrees): 3.555 3.555 9.495 90.00 90.00 120.00
Positions (direct):
Pb  0.333  0.667  0.640
Pb  0.667  0.333  0.360
As  0.333  0.667  0.076
As  0.667  0.333  0.924

**Fermi-level density of states**: 0.434 states/eV per atom
**SG**: P-3m1 (164)
**Formation energy from the elements**: 0.08 eV/atom
**Total DFT energy (no corrections)**: -47.906 eV/atom

=====

Density functional theory data (SCAN) for a PBEsol-optimized structure of As3Pb.

Lattice parameters (Å, degrees): 4.356 5.542 7.915 90.00 90.00 90.00
Positions (direct):
Pb  0.557  0.000  0.000
Pb  0.443  0.500  0.500
As  0.379  0.500  0.000
As  0.621  0.000  0.500
As  0.992  0.000  0.736
As  0.992  0.000  0.264
As  0.008  0.500  0.236
As  0.008  0.500  0.764

**Fermi-level density of states**: 0.395 states/eV per atom
**SG**: Pmmn (59)
**Formation energy from the elements**: 0.06 eV/atom
**E above lowest polymorph**: 0 meV/atom
**Total DFT energy (no corrections)**: -34.027 eV/atom